No. 1
Computed, not measured: crystalline HfZrAu4 at its relaxed geometry at the PBE level of DFT.

a = 3.5772 Å, b = 3.5772 Å, c = 8.8034 Å
α = 90.00°, β = 90.00°, γ = 90.00°
Atoms (fractional coordinates):
Au 0.5000 0.5000 0.8352
Hf 0.0000 0.0000 0.0000
Au 0.0000 0.0000 0.6704
Au 0.5000 0.5000 0.1648
Zr 0.5000 0.5000 0.5000
Au 0.0000 0.0000 0.3296

Its space group is No. 123. The density comes out at 15.6 g/cm3. Its total magnetization is 0.00 Bohr magnetons per cell. The value obtained for the calculated total energy is -5.83 eV/atom.

No. 2
Computed, not measured: crystalline HfZr2Au at its relaxed geometry at the PBE level of DFT.

a = 4.8688 Å, b = 4.8688 Å, c = 4.8688 Å
α = 60.00°, β = 60.00°, γ = 60.00°
Atoms (fractional coordinates):
Zr 0.2500 0.2500 0.2500
Zr 0.0000 0.0000 0.0000
Hf 0.7500 0.7500 0.7500
Au 0.5000 0.5000 0.5000

Its space group is No. 216. The density comes out at 11.4 g/cm3. Its total magnetization is 0.01 Bohr magnetons per cell. The value obtained for the calculated total energy is -7.71 eV/atom.

No. 3
Computed, not measured: crystalline HfZrAu at its relaxed geometry at the PBE level of DFT.

a = 6.2923 Å, b = 6.2923 Å, c = 6.2923 Å
α = 149.87°, β = 149.87°, γ = 43.13°
Atoms (fractional coordinates):
Au 0.6728 0.6728 0.0000
Hf 0.3252 0.3252 0.0000
Zr 0.0020 0.0020 0.0000

Its space group is No. 107. The energy above the most stable polymorph in this dataset comes out at 0.000 eV per atom. The density comes out at 12.4 g/cm3. Its total magnetization is 0.01 Bohr magnetons per cell. The value obtained for the calculated total energy is -7.69 eV/atom.

No. 4
Computed, not measured: crystalline Hg2Au at its relaxed geometry at the PBE level of DFT.

a = 4.3407 Å, b = 4.3407 Å, c = 5.3367 Å
α = 114.39°, β = 114.39°, γ = 55.59°
Atoms (fractional coordinates):
Au 0.0000 0.0000 0.0000
Hg 0.7829 0.7829 0.3119
Hg 0.2171 0.2171 0.6881

Its space group is No. 12. The density comes out at 13.5 g/cm3. The value obtained for the calculated total energy is -1.21 eV/atom.

Number 1 is which compound? HfZrAu4